Entry from Alexandria via LeMat-Bulk: a relaxed MnAl2AgAu4 crystal (GGA-PBE).

It has space group R-3m (No. 166, hexagonal axes), with a = 4.5485 Å, b = 4.5485 Å, c = 22.4958 Å, α = 90.00°, β = 90.00° and γ = 120.00°. The inequivalent atoms are Mn at (0.0000, 0.0000, 0.0000), Al at (0.0000, 0.0000, 0.2487), Ag at (0.0000, 0.0000, 0.5000), Au at (0.0000, 0.0000, 0.1194) and Au at (0.0000, 0.0000, 0.3698).

The formation energy is -20.16 kJ/mol of atoms. The crystal system is trigonal.